(1)
Al2SbMo after structural relaxation, computed with PBE.

Results
- formation energy from raw total energies (eV/f.u.) = 0.87

Cell lengths 5.0599, 5.0599, 2.9345 Å; angles 90.00, 90.00, 108.98 degrees
Element x y z (fractional)
Al: 0.0000 0.0000 0.0000
Al: 0.5000 0.5000 0.0000
Mo: 0.5000 0.0000 0.5000
Sb: 0.0000 0.5000 0.5000

(2)
Ce2Sm3PuSe6 after structural relaxation, computed with PBE.

Results
- formation energy from raw total energies (eV/f.u.) = -21.43

Cell lengths 4.1642, 8.3928, 9.3571 Å; angles 103.25, 102.86, 90.00 degrees
Element x y z (fractional)
Se: 0.6658 0.5855 0.3315
Sm: 0.1667 0.8338 0.3333
Se: 0.3342 0.4145 0.6685
Sm: 0.8333 0.1662 0.6667
Pu: 0.5000 0.0000 0.0000
Se: 0.6658 0.0814 0.3317
Se: 0.9994 0.2476 0.9988
Ce: 0.8334 0.6663 0.6667
Se: 0.0006 0.7524 0.0012
Sm: 0.5000 0.5000 0.0000
Se: 0.3342 0.9186 0.6683
Ce: 0.1666 0.3337 0.3333

(3)
SrTlSb3 after structural relaxation, computed with PBE.

Results
- formation energy from raw total energies (eV/f.u.) = 2.67
- energy relative to the lowest polymorph listed for this composition (eV/atom) = 0.2706

Cell lengths 6.0569, 6.0569, 6.0569 Å; angles 90.00, 90.00, 90.00 degrees
Element x y z (fractional)
Tl: 0.5000 0.5000 0.5000
Sb: 0.5000 0.0000 0.0000
Sr: 0.0000 0.0000 0.0000
Sb: 0.0000 0.5000 0.0000
Sb: 0.0000 0.0000 0.5000

(4)
PmDy6YEr2 after structural relaxation, computed with PBE.

Results
- final energy (eV/cell) = -93.531

Cell lengths 9.5202, 8.7753, 8.7753 Å; angles 117.84, 93.63, 93.63 degrees
Element x y z (fractional)
Dy: 0.6192 0.4910 0.7086
Dy: 0.3808 0.5090 0.2914
Er: 0.9542 0.6963 0.8012
Dy: 0.8808 0.2914 0.5090
Er: 0.0458 0.3037 0.1988
Dy: 0.5562 0.7521 0.1214
Y: 0.7500 0.5909 0.4091
Dy: 0.1821 0.5654 0.0187
Dy: 0.1192 0.7086 0.4910
Er: 0.4542 0.8012 0.6963
Dy: 0.6821 0.0187 0.5654
Dy: 0.3179 0.9813 0.4346
Dy: 0.9438 0.8786 0.2479
Er: 0.5458 0.1988 0.3037
Dy: 0.0562 0.1214 0.7521
Pm: 0.2500 0.9737 0.0263
Dy: 0.4438 0.2479 0.8786
Y: 0.2500 0.4091 0.5909
Pm: 0.7500 0.0263 0.9737
Dy: 0.8179 0.4346 0.9813

(5)
Tb3Y3Tm4 after structural relaxation, computed with PBE.

Results
- final energy (eV/cell) = -50.280

Cell lengths 3.6776, 9.3054, 9.3054 Å; angles 89.94, 90.00, 90.00 degrees
Element x y z (fractional)
Y: 0.5000 0.8268 0.1732
Tm: 0.0000 0.6245 0.3755
Y: 0.5000 0.3268 0.3269
Tm: 0.0000 0.8757 0.8750
Tm: 0.0000 0.3746 0.6254
Tb: 0.0000 0.9996 0.4990
Y: 0.5000 0.6731 0.6732
Tb: 0.0000 0.5010 0.0004
Tb: 0.5000 0.1728 0.8272
Tm: 0.0000 0.1250 0.1243

(6)
LiYScGa2 after structural relaxation, computed with PBE.

Results
- final energy (eV/cell) = -17.236

Cell lengths 5.4865, 5.2732, 5.4865 Å; angles 90.00, 90.00, 90.00 degrees
Element x y z (fractional)
Li: 0.5000 0.5000 0.5000
Sc: 0.0000 0.5000 0.0000
Ga: 0.0000 0.0000 0.5000
Y: 0.0000 0.0000 0.0000
Ga: 0.5000 0.0000 0.0000

(7)
EuAgPd4 after structural relaxation, computed with PBE.

Results
- final energy (eV/cell) = -36.183

Cell lengths 5.4063, 5.4063, 5.4063 Å; angles 60.00, 60.00, 60.00 degrees
Element x y z (fractional)
Pd: 0.6253 0.6253 0.6253
Pd: 0.1242 0.6253 0.6253
Pd: 0.6253 0.6253 0.1242
Eu: 0.2500 0.2500 0.2500
Ag: 0.0000 0.0000 0.0000
Pd: 0.6253 0.1242 0.6253

(8)
LaMg2Mo after structural relaxation, computed with PBE.

Results
- energy relative to the lowest polymorph listed for this composition (eV/atom) = 0.1288

Cell lengths 11.1003, 11.1003, 11.1003 Å; angles 15.90, 15.90, 15.90 degrees
Element x y z (fractional)
Mg: 0.9881 0.9881 0.9881
Mg: 0.5119 0.5119 0.5119
La: 0.7500 0.7500 0.7500
Mo: 0.2500 0.2500 0.2500

(9)
SrCa2CrIn after structural relaxation, computed with PBE.

Results
- final energy (eV/cell) = -16.743

Cell lengths 5.6757, 5.3646, 5.6757 Å; angles 90.00, 90.00, 90.00 degrees
Element x y z (fractional)
Ca: 0.5000 0.0000 0.0000
In: 0.0000 0.5000 0.0000
Ca: 0.0000 0.0000 0.5000
Sr: 0.5000 0.5000 0.5000
Cr: 0.0000 0.0000 0.0000

(10)
TiPd5Au2 after structural relaxation, computed with PBE.

Results
- final energy (eV/cell) = -86.514

Cell lengths 4.0330, 5.6395, 11.2018 Å; angles 90.00, 90.00, 90.00 degrees
Element x y z (fractional)
Pd: 0.5000 0.2662 0.8822
Pd: 0.5000 0.7338 0.1178
Pd: 0.0000 0.5103 0.7596
Pd: 0.0000 0.9897 0.2596
Au: 0.5000 0.7354 0.3721
Au: 0.5000 0.2354 0.1279
Au: 0.5000 0.2646 0.6279
Pd: 0.0000 0.5000 0.5000
Pd: 0.0000 0.4897 0.2404
Pd: 0.0000 0.0000 0.0000
Pd: 0.0000 0.0103 0.7404
Ti: 0.0000 0.0000 0.5000
Pd: 0.5000 0.2338 0.3822
Ti: 0.0000 0.5000 0.0000
Pd: 0.5000 0.7662 0.6178
Au: 0.5000 0.7646 0.8721

(11)
Tm2Zn15Pt2 after structural relaxation, computed with PBE.

Results
- final energy (eV/cell) = -46.293

Cell lengths 6.7731, 6.7731, 6.7731 Å; angles 82.63, 82.63, 82.63 degrees
Element x y z (fractional)
Tm: 0.3338 0.3338 0.3338
Zn: 0.2886 0.0000 0.7114
Zn: 0.7114 0.2886 0.0000
Zn: 0.0000 0.2886 0.7114
Zn: 0.3545 0.8427 0.3545
Pt: 0.1135 0.1135 0.1135
Zn: 0.7114 0.0000 0.2886
Zn: 0.0000 0.0000 0.5000
Zn: 0.2886 0.7114 0.0000
Zn: 0.8427 0.3545 0.3545
Zn: 0.1573 0.6455 0.6455
Zn: 0.6455 0.1573 0.6455
Zn: 0.5000 0.0000 0.0000
Zn: 0.6455 0.6455 0.1573
Zn: 0.3545 0.3545 0.8427
Zn: 0.0000 0.7114 0.2886
Pt: 0.8865 0.8865 0.8865
Tm: 0.6662 0.6662 0.6662
Zn: 0.0000 0.5000 0.0000

(12)
K9In9GeSb22 after structural relaxation, computed with PBE.

Results
- formation energy from raw total energies (eV/f.u.) = -11.48

Cell lengths 11.5173, 11.8722, 13.3008 Å; angles 112.50, 113.31, 91.74 degrees
Element x y z (fractional)
Sb: 0.4801 0.2295 0.7299
In: 0.2437 0.7826 0.1711
Sb: 0.0777 0.4187 0.5215
In: 0.7544 0.2184 0.8267
Sb: 0.8730 0.5185 0.2358
Sb: 0.1722 0.9094 0.0161
Sb: 0.9143 0.5864 0.4818
In: 0.2376 0.7424 0.8331
In: 0.5927 0.9147 0.4994
Sb: 0.4697 0.2291 0.4119
K: 0.5539 0.5010 0.3602
K: 0.8710 0.8336 0.7398
Sb: 0.5138 0.7524 0.9194
K: 0.1261 0.1733 0.2635
Sb: 0.5243 0.7555 0.5936
In: 0.5748 0.9290 0.8360
Sb: 0.8552 0.4873 0.9334
Sb: 0.5111 0.7517 0.2461
Sb: 0.1316 0.4929 0.2747
K: 0.5434 0.5000 0.0057
Sb: 0.1810 0.9239 0.3683
K: 0.1240 0.1882 0.9425
K: 0.8713 0.8548 0.3877
In: 0.7486 0.2586 0.5330
In: 0.4263 0.0690 0.1644
Sb: 0.1224 0.4849 0.7690
Sb: 0.1205 0.8090 0.6293
Ge: 0.4238 0.0657 0.4970
Sb: 0.3839 0.0805 0.8225
Sb: 0.4807 0.2462 0.0754
Sb: 0.8258 0.0949 0.9848
In: 0.7577 0.2588 0.1671
Sb: 0.6139 0.9129 0.1716
In: 0.2505 0.7459 0.4720
K: 0.1320 0.1542 0.6146
Sb: 0.8371 0.0895 0.6424
Sb: 0.8630 0.5139 0.7271
K: 0.4360 0.4923 0.6380
Sb: 0.1302 0.5171 0.0645
K: 0.8773 0.8186 0.0574
Sb: 0.8739 0.1948 0.3720

(13)
Ce2PmTl after structural relaxation, computed with PBE.

Results
- energy relative to the lowest polymorph listed for this composition (eV/atom) = 0.0334

Cell lengths 5.1475, 4.7314, 4.7314 Å; angles 90.00, 90.00, 90.00 degrees
Element x y z (fractional)
Ce: 0.0000 0.0000 0.5000
Pm: 0.5000 0.5000 0.5000
Tl: 0.5000 0.0000 0.0000
Ce: 0.0000 0.5000 0.0000

(14)
RbGeRh2Se after structural relaxation, computed with PBE.

Results
- formation energy from raw total energies (eV/f.u.) = 10.17

Cell lengths 4.8325, 5.6236, 4.8325 Å; angles 90.00, 90.00, 90.00 degrees
Element x y z (fractional)
Se: 0.5000 0.5000 0.5000
Rh: 0.0000 0.0000 0.5000
Ge: 0.0000 0.5000 0.0000
Rb: 0.0000 0.0000 0.0000
Rh: 0.5000 0.0000 0.0000

(15)
NiSn2B after structural relaxation, computed with PBE.

Results
- final energy (eV/cell) = -36.362

Cell lengths 5.9070, 5.9070, 6.3153 Å; angles 62.12, 62.12, 90.00 degrees
Element x y z (fractional)
B: 0.2500 0.7500 0.5000
Ni: 0.0000 0.0000 0.0000
Ni: 0.7500 0.2500 0.5000
B: 0.5000 0.5000 0.0000
Sn: 0.8750 0.8386 0.7500
Sn: 0.5886 0.1250 0.2500
Sn: 0.3750 0.4114 0.7500
Sn: 0.1614 0.6250 0.2500

(16)
PaS4 after structural relaxation, computed with PBE.

Results
- formation energy from raw total energies (eV/f.u.) = -3.55
- energy relative to the lowest polymorph listed for this composition (eV/atom) = 0.0000

Cell lengths 4.0990, 4.0991, 12.0146 Å; angles 71.65, 71.65, 60.08 degrees
Element x y z (fractional)
S: 0.1042 0.1042 0.4231
S: 0.8958 0.8958 0.5769
Pa: 0.0000 0.0000 0.0000
S: 0.5916 0.5916 0.1214
S: 0.4084 0.4084 0.8786

(17)
ScAg2Pb after structural relaxation, computed with PBE.

Results
- final energy (eV/cell) = -16.107

Cell lengths 3.5054, 3.5054, 7.1129 Å; angles 90.00, 90.00, 90.00 degrees
Element x y z (fractional)
Ag: 0.0000 0.0000 0.0063
Pb: 0.0000 0.0000 0.4930
Ag: 0.5000 0.5000 0.2159
Sc: 0.5000 0.5000 0.7848

(18)
Ga2FeSe after structural relaxation, computed with PBE.

Results
- formation energy from raw total energies (eV/f.u.) = 1.25

Cell lengths 6.3547, 6.3547, 6.4534 Å; angles 60.50, 60.50, 90.00 degrees
Element x y z (fractional)
Ga: 0.1423 0.6250 0.2500
Fe: 0.5000 0.5000 0.0000
Ga: 0.8750 0.8577 0.7500
Se: 0.7500 0.2500 0.5000
Ga: 0.3750 0.3923 0.7500
Ga: 0.6077 0.1250 0.2500
Se: 0.0000 0.0000 0.0000
Fe: 0.2500 0.7500 0.5000

(19)
TiCdRu2Pb after structural relaxation, computed with PBE.

Results
- final energy (eV/cell) = -22.053

Cell lengths 4.9536, 5.0996, 4.9536 Å; angles 90.00, 90.00, 90.00 degrees
Element x y z (fractional)
Ru: 0.5000 0.0000 0.0000
Ru: 0.0000 0.0000 0.5000
Cd: 0.0000 0.5000 0.0000
Pb: 0.0000 0.0000 0.0000
Ti: 0.5000 0.5000 0.5000

(20)
Ac2Sn4Pb after structural relaxation, computed with PBE.

Results
- energy relative to the lowest polymorph listed for this composition (eV/atom) = 0.0000

Cell lengths 4.7341, 7.0037, 7.0037 Å; angles 86.49, 90.00, 90.00 degrees
Element x y z (fractional)
Ac: 0.0000 0.2368 0.7632
Sn: 0.5000 0.5000 0.0000
Sn: 0.0000 0.2506 0.2506
Ac: 0.0000 0.7632 0.2368
Sn: 0.5000 0.0000 0.5000
Sn: 0.0000 0.7494 0.7494
Pb: 0.5000 0.5000 0.5000

(21)
Al3FeSn after structural relaxation, computed with PBE.

Results
- energy relative to the lowest polymorph listed for this composition (eV/atom) = 0.0000

Cell lengths 4.5985, 4.5985, 4.5985 Å; angles 90.00, 90.00, 90.00 degrees
Element x y z (fractional)
Al: 0.5000 0.0000 0.0000
Al: 0.0000 0.0000 0.5000
Sn: 0.5000 0.5000 0.5000
Al: 0.0000 0.5000 0.0000
Fe: 0.0000 0.0000 0.0000

(22)
DyPuTlGe after structural relaxation, computed with PBE.

Results
- final energy (eV/cell) = -27.022

Cell lengths 5.2317, 5.2317, 5.2317 Å; angles 60.00, 60.00, 60.00 degrees
Element x y z (fractional)
Dy: 0.5000 0.5000 0.5000
Ge: 0.2500 0.2500 0.2500
Tl: 0.7500 0.7500 0.7500
Pu: 0.0000 0.0000 0.0000

(23)
Ac2SmGe3Au12 after structural relaxation, computed with PBE.

Results
- final energy (eV/cell) = -69.540

Cell lengths 8.3325, 8.3325, 8.3325 Å; angles 66.62, 66.62, 66.62 degrees
Element x y z (fractional)
Au: 0.1459 0.6090 0.1459
Ge: 0.0000 0.5000 0.0000
Au: 0.3910 0.8541 0.8541
Au: 0.8413 0.3143 0.3143
Au: 0.8541 0.8541 0.3910
Au: 0.1587 0.6857 0.6857
Au: 0.3143 0.3143 0.8413
Au: 0.3143 0.8413 0.3143
Au: 0.6857 0.6857 0.1587
Ac: 0.3974 0.3974 0.3974
Au: 0.6857 0.1587 0.6857
Ge: 0.5000 0.0000 0.0000
Ac: 0.6026 0.6026 0.6026
Au: 0.6090 0.1459 0.1459
Sm: 0.0000 0.0000 0.0000
Au: 0.8541 0.3910 0.8541
Au: 0.1459 0.1459 0.6090
Ge: 0.0000 0.0000 0.5000

| no. | size of the total moment (μB per formula unit) |
| --- | --- |
| 1 | 0.0 |
| 2 | 7.9 |
| 3 | 0.0 |
| 4 | 0.0 |
| 5 | 0.0 |
| 6 | 0.0 |
| 7 | 6.6 |
| 8 | 0.7 |
| 9 | 3.1 |
| 10 | 0.0 |
| 11 | 0.0 |
| 12 | 0.0 |
| 13 | 2.0 |
| 14 | 0.0 |
| 15 | 0.0 |
| 16 | 2.9 |
| 17 | 0.0 |
| 18 | 2.3 |
| 19 | 0.0 |
| 20 | 0.0 |
| 21 | 1.0 |
| 22 | 6.1 |
| 23 | 0.0 |